Material: Na4Sn
Method: DFT, PBE
State: optimized geometry

abc: 5.9678 5.9678 5.9678
angles: 90.00 90.00 90.00
Element x y z (fractional)
Na  0.0000  0.0000  0.0000
Na  0.0000  0.5000  0.5000
Na  0.5000  0.0000  0.5000
Na  0.5000  0.5000  0.0000
Sn  0.5000  0.5000  0.5000

## Properties
As for the distance to the lowest polymorph of the same formula: 184 meV/atom. As for the space group: Pm-3m (221).

---

Material: Na3Sn
Method: DFT, PBE
State: optimized geometry

abc: 4.7361 4.7361 6.3629
angles: 110.07 110.07 94.48
Element x y z (fractional)
Na  0.0000  0.5000  0.0000
Na  0.5000  0.5000  0.5000
Na  0.5000  0.0000  0.0000
Sn  0.0000  0.0000  0.5000

## Properties
As for the space group: Fmmm (69).

---

Material: Na4Sn
Method: DFT, PBE
State: optimized geometry

abc: 5.5377 9.6623 6.3933
angles: 121.26 90.00 90.00
Element x y z (fractional)
Na  0.2500  0.3635  0.3381
Na  0.7500  0.8635  0.3381
Na  0.7500  0.6365  0.6619
Na  0.2500  0.1365  0.6619
Na  0.7500  0.4493  0.0946
Na  0.2500  0.9493  0.0946
Na  0.7500  0.0507  0.9054
Na  0.2500  0.5507  0.9054
Sn  0.2500  0.7500  0.5000
Sn  0.7500  0.2500  0.5000

## Properties
As for the distance to the lowest polymorph of the same formula: 0 meV/atom. As for the space group: C2/m (12).

---

Material: NaSn2
Method: DFT, PBE
State: optimized geometry

abc: 7.6568 7.6568 15.5271
angles: 78.79 78.79 54.22
Element x y z (fractional)
Sn  0.0649  0.6310  0.6042
Sn  0.3313  0.7596  0.2528
Sn  0.6310  0.0649  0.6042
Sn  0.6124  0.0453  0.2526
Sn  0.3266  0.3266  0.1136
Sn  0.0453  0.6124  0.2526
Sn  0.3690  0.9351  0.3958
Sn  0.6734  0.6734  0.8864
Sn  0.1153  0.1153  0.1142
Sn  0.6687  0.2404  0.7472
Sn  0.7596  0.3313  0.2528
Sn  0.8847  0.8847  0.8858
Sn  0.2404  0.6687  0.7472
Sn  0.3876  0.9547  0.7474
Sn  0.9351  0.3690  0.3958
Sn  0.9547  0.3876  0.7474
Na  0.9140  0.9140  0.4156
Na  0.6207  0.6207  0.5665
Na  0.2502  0.7498  0.0000
Na  0.3793  0.3793  0.4335
Na  0.2721  0.2721  0.9110
Na  0.7498  0.2502  0.0000
Na  0.7279  0.7279  0.0890
Na  0.0860  0.0860  0.5844

## Properties
As for the distance to the lowest polymorph of the same formula: 0 meV/atom. As for the space group: C2/m (12).

---

Material: Na7Sn
Method: DFT, PBE
State: optimized geometry

abc: 7.1384 7.1384 7.1384
angles: 60.00 60.00 60.00
Element x y z (fractional)
Na  0.0000  0.5000  0.0000
Na  0.0000  0.5000  0.5000
Na  0.5000  0.5000  0.5000
Na  0.0000  0.0000  0.5000
Na  0.5000  0.0000  0.0000
Na  0.5000  0.5000  0.0000
Na  0.5000  0.0000  0.5000
Sn  0.0000  0.0000  0.0000

## Properties
As for the space group: Fm-3m (225).

---

Material: Na4Sn
Method: DFT, PBE
State: optimized geometry

abc: 4.3065 4.3065 9.4083
angles: 103.23 103.23 90.00
Element x y z (fractional)
Na  0.9135  0.4135  0.3270
Na  0.7500  0.7500  0.0000
Na  0.0865  0.5865  0.6730
Na  0.2500  0.2500  0.0000
Sn  0.5000  0.0000  0.5000

## Properties
As for the distance to the lowest polymorph of the same formula: 239 meV/atom. As for the space group: I4/mmm (139).

---

Material: Na3Sn5
Method: DFT, PBE
State: optimized geometry

abc: 6.5257 7.9554 10.5991
angles: 82.75 72.07 65.79
Element x y z (fractional)
Sn  0.6135  0.2115  0.6790
Sn  0.2253  0.1091  0.8212
Sn  0.5424  0.7115  0.8210
Sn  0.6657  0.1091  0.1788
Sn  0.7461  0.7115  0.1790
Sn  0.0945  0.6091  0.3212
Sn  0.0448  0.9104  0.5000
Sn  0.7948  0.4104  0.0000
Sn  0.2964  0.6091  0.6788
Sn  0.1750  0.2115  0.3210
Na  0.8524  0.9103  0.8836
Na  0.9860  0.4103  0.6164
Na  0.2373  0.9103  0.1164
Na  0.2946  0.4108  0.0000
Na  0.5446  0.9108  0.5000
Na  0.6037  0.4103  0.3836

## Properties
As for the distance to the lowest polymorph of the same formula: 44 meV/atom. As for the space group: Fdd2 (43).

---

Material: Na8Sn
Method: DFT, PBE
State: optimized geometry

abc: 4.1743 8.7429 8.7429
angles: 86.73 76.19 76.19
Element x y z (fractional)
Na  0.6518  0.0000  0.6965
Na  0.6714  0.3286  0.3286
Na  0.3482  0.0000  0.3035
Na  0.6518  0.6965  0.0000
Na  0.3286  0.6714  0.6714
Na  0.0000  0.3286  0.6714
Na  0.0000  0.6714  0.3286
Na  0.3482  0.3035  0.0000
Sn  0.0000  0.0000  0.0000

## Properties
As for the distance to the lowest polymorph of the same formula: 6 meV/atom. As for the space group: I4/mmm (139).

---

Density of states at the Fermi level: 3.25; 1.82; 3.04; 3.09; 5.34; 2.31; 7.37; 4.69 (states/eV per cell)
ΔH_f (0 K): 0.057; -0.005; -0.127; -0.154; -0.027; 0.112; -0.083; -0.034 (eV/atom)